1.
A plane-wave DFT calculation with PBE was carried out for a relaxed structure of SrSnW.

The structure in POSCAR format:
```
SrSnW
1.0
3.7477 0.0409 3.2185
-0.1558 -2.8819 4.0095
2.9988 -3.9104 0.3494
Sn Sr W
1 1 1
Direct
0.0000 0.0000 0.0000
0.2500 0.2500 0.2500
0.7500 0.7500 0.7500
```

Values from the calculation:
Total magnetic moment: 1.69 μB per formula unit
DFT total energy: -5.16 eV per atom
Mass density: 7.60 Mg/m³
E above lowest polymorph: 0.0 kJ/mol of atoms


2.
A plane-wave DFT calculation with PBE was carried out for a relaxed structure of PmAsIrO.

The structure in POSCAR format:
```
PmAsIrO
1.0
4.0701 0.0000 0.0000
0.0000 4.0701 0.0000
0.0000 0.0000 8.3710
As Ir O Pm
2 2 2 2
Direct
0.0000 0.5000 0.3310
0.5000 0.0000 0.6690
0.0000 0.0000 0.5000
0.5000 0.5000 0.5000
0.0000 0.0000 0.0000
0.5000 0.5000 0.0000
0.5000 0.0000 0.1366
0.0000 0.5000 0.8634
```

Values from the calculation:
Total magnetic moment: 0.00 μB per formula unit
DFT total energy: -7.61 eV per atom
Mass density: 10.25 Mg/m³
E above lowest polymorph: 0.0 kJ/mol of atoms


3.
A plane-wave DFT calculation with PBE was carried out for a relaxed structure of Sm2IBrNCl.

The structure in POSCAR format:
```
Sm2IBrNCl
1.0
0.7764 9.2726 0.8120
-3.1781 8.7112 1.1210
1.7194 -7.2297 8.8694
Br Cl I N Sm
2 2 2 2 4
Direct
0.3295 0.3295 0.4815
0.6705 0.6705 0.5185
0.2031 0.2031 0.1177
0.7969 0.7969 0.8823
0.9490 0.9490 0.2703
0.0510 0.0510 0.7297
0.5709 0.5709 0.1562
0.4291 0.4291 0.8438
0.4205 0.4205 0.0370
0.1327 0.1327 0.2881
0.8673 0.8673 0.7119
0.5795 0.5795 0.9630
```

Values from the calculation:
Total magnetic moment: 0.00 μB per formula unit
DFT total energy: -5.60 eV per atom
Mass density: 5.25 Mg/m³
E above lowest polymorph: 0.8 kJ/mol of atoms


4.
A plane-wave DFT calculation with PBE was carried out for a relaxed structure of Hf2CuIr.

The structure in POSCAR format:
```
Hf2CuIr
1.0
4.6080 0.0000 0.0000
0.0000 6.5187 0.0000
0.0000 0.0000 13.8219
Cu Hf Ir
6 12 6
Direct
0.0000 0.0000 0.0000
0.4993 0.5000 0.1667
0.9993 0.0000 0.3333
0.5000 0.5000 0.5000
0.0007 0.0000 0.6667
0.5007 0.5000 0.8333
0.5000 0.2500 0.0000
0.5000 0.7500 0.0000
0.9997 0.2500 0.1667
0.9997 0.7500 0.1667
0.4997 0.2500 0.3333
0.4997 0.7500 0.3333
0.0000 0.2500 0.5000
0.0000 0.7500 0.5000
0.5003 0.2500 0.6667
0.5003 0.7500 0.6667
0.0003 0.2500 0.8333
0.0003 0.7500 0.8333
0.0000 0.5000 0.0000
0.4999 0.0000 0.1667
0.9999 0.5000 0.3333
0.5000 0.0000 0.5000
0.0001 0.5000 0.6667
0.5001 0.0000 0.8333
```

Values from the calculation:
DFT formation energy: -574 meV/atom
Total magnetic moment: 0.00 μB per formula unit
DFT total energy: -8.69 eV per atom
Mass density: 14.70 Mg/m³
E above lowest polymorph: 0.0 kJ/mol of atoms


5.
A plane-wave DFT calculation with PBE was carried out for a relaxed structure of Tc2Ge.

The structure in POSCAR format:
```
Tc2Ge
1.0
3.9937 2.3058 6.5217
-3.9937 2.3058 6.5217
0.0000 -4.6115 6.5217
Ge Tc
2 4
Direct
0.2500 0.2500 0.2500
0.5000 0.5000 0.5000
0.8750 0.3750 0.3750
0.3750 0.8750 0.3750
0.3750 0.3750 0.3750
0.3750 0.3750 0.8750
```

Values from the calculation:
Total magnetic moment: 7.30 μB per formula unit
DFT total energy: -5.48 eV per atom
Mass density: 2.48 Mg/m³
E above lowest polymorph: 298.0 kJ/mol of atoms


6.
A plane-wave DFT calculation with PBE was carried out for a relaxed structure of Li3B2Os.

The structure in POSCAR format:
```
Li3B2Os
1.0
-2.0139 1.3969 -2.9731
1.6491 -2.7722 -2.4196
-3.4367 -0.8111 1.9468
B Li Os
2 3 1
Direct
0.0000 0.6667 0.3334
0.0000 0.3334 0.6667
0.5000 0.5000 0.0000
0.5000 0.5000 0.5000
0.5000 0.0000 0.5000
0.0000 0.0000 0.0000
```

Values from the calculation:
Total magnetic moment: 0.01 μB per formula unit
DFT total energy: -4.60 eV per atom
Mass density: 7.12 Mg/m³


7.
A plane-wave DFT calculation with PBE was carried out for a relaxed structure of MgCdTeO.

The structure in POSCAR format:
```
MgCdTeO
1.0
-5.0870 0.9647 -3.7727
1.9359 -7.4260 -4.5092
-3.2519 -3.0385 3.6078
Cd Mg O Te
4 4 4 4
Direct
0.0779 0.3319 0.0950
0.5779 0.6681 0.0950
0.4221 0.3319 0.5950
0.9221 0.6681 0.5950
0.1229 0.0318 0.4471
0.6229 0.9682 0.4471
0.3771 0.0318 0.9471
0.8771 0.9682 0.9471
0.1110 0.0628 0.1087
0.6110 0.9372 0.1087
0.3890 0.0628 0.6087
0.8890 0.9372 0.6087
0.5478 0.3331 0.0992
0.0478 0.6669 0.0992
0.9522 0.3331 0.5992
0.4522 0.6669 0.5992
```

Values from the calculation:
DFT total energy: -3.96 eV per atom
Mass density: 5.70 Mg/m³
E above lowest polymorph: 0.0 kJ/mol of atoms


8.
A plane-wave DFT calculation with PBE was carried out for a relaxed structure of AuI.

The structure in POSCAR format:
```
AuI
1.0
-3.4379 -2.7120 0.1519
0.3197 -0.6473 -4.3215
8.5466 -10.7086 2.2364
Au I
4 4
Direct
0.2500 0.2500 0.2500
0.7500 0.7500 0.2500
0.7500 0.2500 0.7500
0.2500 0.7500 0.7500
0.0000 0.5000 0.0962
0.5000 0.0000 0.4038
0.0000 0.5000 0.5962
0.5000 0.0000 0.9038
```

Values from the calculation:
DFT total energy: -2.46 eV per atom
Mass density: 8.07 Mg/m³


9.
A plane-wave DFT calculation with PBE was carried out for a relaxed structure of HoHgSb.

The structure in POSCAR format:
```
HoHgSb
1.0
0.0000 3.6026 3.6026
3.6026 0.0000 3.6026
3.6026 3.6026 0.0000
Hg Ho Sb
1 1 1
Direct
0.5000 0.5000 0.5000
0.0000 0.0000 0.0000
0.2500 0.2500 0.2500
```

Values from the calculation:
Total magnetic moment: 0.06 μB per formula unit
DFT total energy: -3.20 eV per atom
Mass density: 8.65 Mg/m³


10.
A plane-wave DFT calculation with PBE was carried out for a relaxed structure of BaSm2ZnO5.

The structure in POSCAR format:
```
BaSm2ZnO5
1.0
7.2017 0.0000 0.0000
0.0000 12.5621 0.0000
0.0000 0.0000 5.8098
Ba O Sm Zn
4 20 8 4
Direct
0.5774 0.4014 0.2500
0.9226 0.9014 0.2500
0.0774 0.0986 0.7500
0.4226 0.5986 0.7500
0.8541 0.2758 0.0039
0.6459 0.7758 0.0039
0.6692 0.0647 0.0054
0.8308 0.5647 0.0054
0.0696 0.0988 0.2500
0.4304 0.5988 0.2500
0.6692 0.0647 0.4946
0.8308 0.5647 0.4946
0.8541 0.2758 0.4961
0.6459 0.7758 0.4961
0.3541 0.2242 0.5039
0.1459 0.7242 0.5039
0.1692 0.4353 0.5054
0.3308 0.9353 0.5054
0.5696 0.4012 0.7500
0.9304 0.9012 0.7500
0.1692 0.4353 0.9946
0.3308 0.9353 0.9946
0.3541 0.2242 0.9961
0.1459 0.7242 0.9961
0.3993 0.0749 0.2500
0.1190 0.2929 0.2500
0.1007 0.5749 0.2500
0.3810 0.7929 0.2500
0.6190 0.2071 0.7500
0.8993 0.4251 0.7500
0.8810 0.7071 0.7500
0.6007 0.9251 0.7500
0.8085 0.1508 0.2500
0.6915 0.6508 0.2500
0.3085 0.3492 0.7500
0.1915 0.8492 0.7500
```

Values from the calculation:
Total magnetic moment: 0.00 μB per formula unit
DFT total energy: -6.95 eV per atom
Mass density: 7.37 Mg/m³
E above lowest polymorph: 0.0 kJ/mol of atoms


11.
A plane-wave DFT calculation with PBE was carried out for a relaxed structure of SrDyCd2Au4.

The structure in POSCAR format:
```
SrDyCd2Au4
1.0
5.0224 0.0000 0.0000
0.0000 5.0224 0.0000
0.0000 0.0000 7.0989
Au Cd Dy Sr
4 2 1 1
Direct
0.5000 0.0000 0.2304
0.0000 0.5000 0.2304
0.5000 0.0000 0.7696
0.0000 0.5000 0.7696
0.5000 0.5000 0.0000
0.0000 0.0000 0.5000
0.0000 0.0000 0.0000
0.5000 0.5000 0.5000
```

Values from the calculation:
Total magnetic moment: 0.01 μB per formula unit
DFT total energy: -3.24 eV per atom
Mass density: 11.71 Mg/m³


12.
A plane-wave DFT calculation with PBE was carried out for a relaxed structure of BaPOsO.

The structure in POSCAR format:
```
BaPOsO
1.0
4.3721 0.0000 0.0000
0.0000 4.3721 0.0000
0.0000 0.0000 7.4990
Ba O Os P
2 2 2 2
Direct
0.0000 0.0000 0.5000
0.5000 0.5000 0.5000
0.0000 0.0000 0.0000
0.5000 0.5000 0.0000
0.0000 0.5000 0.1010
0.5000 0.0000 0.8990
0.5000 0.0000 0.1963
0.0000 0.5000 0.8037
```

Values from the calculation:
Total magnetic moment: 0.00 μB per formula unit
DFT total energy: -5.34 eV per atom
Mass density: 8.68 Mg/m³
E above lowest polymorph: 158.9 kJ/mol of atoms


13.
A plane-wave DFT calculation with PBE was carried out for a relaxed structure of ReAuSe2.

The structure in POSCAR format:
```
ReAuSe2
1.0
-1.4498 -1.1017 -5.5349
0.6513 -3.6244 0.5508
-6.8571 -0.5626 4.4062
Au Re Se
2 2 4
Direct
0.7986 0.2500 0.4719
0.2014 0.7500 0.5281
0.1918 0.2500 0.0097
0.8082 0.7500 0.9903
0.6555 0.2500 0.1510
0.1894 0.7500 0.2160
0.8107 0.2500 0.7840
0.3445 0.7500 0.8490
```

Values from the calculation:
Total magnetic moment: 0.00 μB per formula unit
DFT total energy: -5.70 eV per atom
Mass density: 10.59 Mg/m³


14.
A plane-wave DFT calculation with PBE was carried out for a relaxed structure of ReBiB4.

The structure in POSCAR format:
```
ReBiB4
1.0
-1.5553 2.7272 3.8114
1.5553 -2.7272 3.8114
1.5553 2.7272 -3.8114
B Bi Re
4 1 1
Direct
0.5799 0.2416 0.3383
0.0968 0.7584 0.3384
0.9032 0.2416 0.6617
0.4201 0.7584 0.6617
0.0000 0.0000 0.0000
0.5000 0.5000 0.0000
```

Values from the calculation:
Total magnetic moment: 0.01 μB per formula unit
DFT total energy: -6.39 eV per atom
Mass density: 11.26 Mg/m³
E above lowest polymorph: 39.9 kJ/mol of atoms


15.
A plane-wave DFT calculation with PBE was carried out for a relaxed structure of KRbAg4P2.

The structure in POSCAR format:
```
KRbAg4P2
1.0
-4.3366 -7.2317 -1.7810
-0.3449 -6.7006 5.4091
-1.0314 8.5562 -0.0595
Ag K P Rb
4 1 2 1
Direct
0.6271 0.3587 0.2345
0.6413 0.8759 0.2685
0.6074 0.3729 0.7315
0.1241 0.3926 0.7655
0.0000 0.0000 0.0000
0.5000 0.5000 0.0000
0.7500 0.2500 0.5000
0.2500 0.7500 0.5000
```

Values from the calculation:
DFT total energy: -3.18 eV per atom
Mass density: 3.99 Mg/m³


16.
A plane-wave DFT calculation with PBE was carried out for a relaxed structure of GdTa2O6.

The structure in POSCAR format:
```
GdTa2O6
1.0
-2.6213 -1.7388 2.3484
2.5688 -2.8792 0.7355
2.8085 4.0778 6.1541
Gd O Ta
1 6 2
Direct
0.0000 0.0000 0.0000
0.5000 0.5000 0.0000
0.0000 0.5000 0.2133
0.5000 0.0000 0.2136
0.5000 0.5000 0.5000
0.5000 0.0000 0.7864
0.0000 0.5000 0.7867
0.5000 0.5000 0.2572
0.5000 0.5000 0.7428
```

Values from the calculation:
Total magnetic moment: 0.01 μB per formula unit
DFT total energy: -9.40 eV per atom
Mass density: 8.39 Mg/m³


17.
A plane-wave DFT calculation with PBE was carried out for a relaxed structure of HgBiSO.

The structure in POSCAR format:
```
HgBiSO
1.0
-2.3555 0.2810 -3.2237
1.3568 -3.5341 -1.2995
-7.3050 -4.6191 4.9350
Bi Hg O S
2 2 2 2
Direct
0.2500 0.2500 0.1257
0.7500 0.7500 0.8743
0.7500 0.2500 0.5000
0.2500 0.7500 0.5000
0.7500 0.2500 0.0000
0.2500 0.7500 0.0000
0.7500 0.7500 0.2719
0.2500 0.2500 0.7281
```

Values from the calculation:
DFT total energy: -3.78 eV per atom
Mass density: 9.53 Mg/m³
E above lowest polymorph: 18.9 kJ/mol of atoms


18.
A plane-wave DFT calculation with PBE was carried out for a relaxed structure of CsNaZrTe3.

The structure in POSCAR format:
```
CsNaZrTe3
1.0
-10.4597 -7.7649 11.1185
3.2207 -2.6973 1.1461
3.4196 7.7497 8.6292
Cs Na Te Zr
4 4 12 4
Direct
0.2650 0.7500 0.0438
0.7650 0.7500 0.4562
0.2350 0.2500 0.5438
0.7350 0.2500 0.9562
0.4767 0.2500 0.0890
0.9767 0.2500 0.4110
0.0233 0.7500 0.5890
0.5233 0.7500 0.9110
0.0826 0.2500 0.0650
0.5901 0.7500 0.1518
0.8732 0.2500 0.2159
0.3732 0.2500 0.2841
0.0901 0.7500 0.3482
0.5826 0.2500 0.4350
0.4174 0.7500 0.5650
0.9099 0.2500 0.6518
0.6268 0.7500 0.7159
0.1268 0.7500 0.7841
0.4099 0.2500 0.8482
0.9174 0.7500 0.9350
0.9867 0.7500 0.1631
0.4867 0.7500 0.3369
0.5133 0.2500 0.6631
0.0133 0.2500 0.8369
```

Values from the calculation:
Total magnetic moment: 0.00 μB per formula unit
DFT total energy: -4.28 eV per atom
Mass density: 4.64 Mg/m³


19.
A plane-wave DFT calculation with PBE was carried out for a relaxed structure of UFeB.

The structure in POSCAR format:
```
UFeB
1.0
0.0000 2.8134 2.8134
2.8134 0.0000 2.8134
2.8134 2.8134 0.0000
B Fe U
1 1 1
Direct
0.0000 0.0000 0.0000
0.2500 0.2500 0.2500
0.7500 0.7500 0.7500
```

Values from the calculation:
Total magnetic moment: 1.12 μB per formula unit
DFT total energy: -8.52 eV per atom
Mass density: 11.36 Mg/m³
E above lowest polymorph: 0.0 kJ/mol of atoms


20.
A plane-wave DFT calculation with PBE was carried out for a relaxed structure of TbTm2In3Cu3.

The structure in POSCAR format:
```
TbTm2In3Cu3
1.0
-0.1356 2.4915 -2.9084
-5.4347 3.8007 3.5092
7.1945 1.7716 1.1821
Cu In Tb Tm
3 3 1 2
Direct
0.5000 0.6688 0.3318
0.5000 0.3318 0.6688
0.0000 0.9987 0.9987
0.5000 0.9986 0.2578
0.5000 0.7428 0.7428
0.5000 0.2578 0.9986
0.0000 0.4088 0.4088
0.0000 0.5924 0.0003
0.0000 0.0003 0.5924
```

Values from the calculation:
Total magnetic moment: 0.01 μB per formula unit
DFT total energy: -4.07 eV per atom
Mass density: 9.18 Mg/m³


21.
A plane-wave DFT calculation with PBE was carried out for a relaxed structure of HoEr2FeCo8.

The structure in POSCAR format:
```
HoEr2FeCo8
1.0
2.4911 1.4382 7.9664
-2.4911 1.4382 7.9664
0.0000 -2.8764 7.9664
Co Er Fe Ho
8 2 1 1
Direct
0.5838 0.5838 0.0788
0.3342 0.3342 0.3342
0.9212 0.4162 0.4162
0.4162 0.9212 0.4162
0.5838 0.0788 0.5838
0.0788 0.5838 0.5838
0.6658 0.6658 0.6658
0.4162 0.4162 0.9212
0.1397 0.1397 0.1397
0.8603 0.8603 0.8603
0.5000 0.5000 0.5000
0.0000 0.0000 0.0000
```

Values from the calculation:
DFT formation energy: -200 meV/atom
Total magnetic moment: 11.76 μB per formula unit
DFT total energy: -6.77 eV per atom
Mass density: 9.96 Mg/m³


22.
A plane-wave DFT calculation with PBE was carried out for a relaxed structure of Ga2PtI6Br2.

The structure in POSCAR format:
```
Ga2PtI6Br2
1.0
6.8986 -4.6697 0.0000
6.8986 4.6697 0.0000
-0.9920 0.0000 8.0256
Br Ga I Pt
2 2 6 1
Direct
0.3817 0.3817 0.2926
0.6183 0.6183 0.7074
0.2187 0.2187 0.3338
0.7813 0.7813 0.6662
0.9162 0.3117 0.1510
0.3117 0.9162 0.1510
0.8173 0.8173 0.3670
0.1827 0.1827 0.6330
0.6883 0.0838 0.8490
0.0838 0.6883 0.8490
0.0000 0.0000 0.0000
```

Values from the calculation:
Total magnetic moment: 0.00 μB per formula unit
DFT total energy: -2.72 eV per atom
Mass density: 4.03 Mg/m³
E above lowest polymorph: 0.0 kJ/mol of atoms